Ca2MgBe | the Alexandria database | PBE | relaxed; energy of formation from the pure elements = 165 meV per atom
1.0
3.5679 0.0000 0.0000
0.0000 3.5655 0.0000
0.0000 0.0000 8.2600
Be Ca Mg
1 2 1
Direct
0.5000 0.5000 0.7500 Be
0.0000 0.0000 0.9608 Ca
0.0000 0.0000 0.5392 Ca
0.5000 0.5000 0.2500 Mg

=====

Dy3ErTh3 | the Alexandria database | PBE | relaxed; energy of formation from the pure elements = 48 meV per atom
1.0
5.7839 0.0000 0.0000
0.0000 8.2179 -4.7446
0.0000 0.0000 9.4893
Dy Er Th
6 2 6
Direct
0.7500 0.8049 0.7608 Dy
0.7500 0.9560 0.1951 Dy
0.2500 0.7608 0.9560 Dy
0.7500 0.2392 0.0440 Dy
0.2500 0.0440 0.8049 Dy
0.2500 0.1951 0.2392 Dy
0.2500 0.3333 0.6667 Er
0.7500 0.6667 0.3333 Er
0.7500 0.5138 0.8963 Th
0.7500 0.3825 0.4862 Th
0.2500 0.8963 0.3825 Th
0.7500 0.1037 0.6175 Th
0.2500 0.6175 0.5138 Th
0.2500 0.4862 0.1037 Th